Record 1
Below is a geometry-optimized K3La3CeS8 structure, with properties calculated at the GGA-PBE level.

Cell: 8.5144 8.5144 22.2565 Å, 90.00 90.00 120.00°
Space group R-3m (No. 166, hexagonal axes)
One atom of each set of equivalent atoms:
K  0.0000  0.5000  0.0000
La  0.0000  0.5000  0.5000
Ce  0.0000  0.0000  0.5000
S  0.0000  0.0000  0.2356
S  0.0161  0.5081  0.2319

## Properties
* final energy: -85.41 eV/f.u.

Record 2
Below is a geometry-optimized K4LaCe3S8 structure, with properties calculated at the GGA-PBE level.

Cell: 8.4788 8.4788 22.0807 Å, 90.00 90.00 120.00°
Space group R-3m (No. 166, hexagonal axes)
One atom of each set of equivalent atoms:
K  0.0000  0.0000  0.0000
K  0.0000  0.5000  0.0000
La  0.0000  0.0000  0.5000
Ce  0.0000  0.5000  0.5000
S  0.0000  0.0000  0.2351
S  0.0037  0.5018  0.7644

## Properties
* final energy: -89.28 eV/f.u.

Record 3
Below is a geometry-optimized K3La2CeS6 structure, with properties calculated at the GGA-PBE level.

Cell: 7.404 12.824 7.762 Å, 90.00 108.55 90.00°
Space group C2/m (No. 12)
One atom of each set of equivalent atoms:
K  0.000  0.000  0.000
K  0.000  0.333  0.000
La  0.000  0.167  0.500
Ce  0.000  0.500  0.500
S  0.234  0.335  0.707
S  0.239  0.000  0.707

## Properties
* final energy: -66.36 eV/f.u.

Record 4
Below is a geometry-optimized K4La3CeSe8 structure, with properties calculated at the GGA-PBE level.

Cell: 8.8746 8.8746 23.0026 Å, 90.00 90.00 120.00°
Space group R-3m (No. 166, hexagonal axes)
One atom of each set of equivalent atoms:
K  0.0000  0.0000  0.0000
K  0.0000  0.5000  0.0000
La  0.0000  0.5000  0.5000
Ce  0.0000  0.0000  0.5000
Se  0.0000  0.0000  0.2373
Se  0.0027  0.5013  0.2369

## Properties
* final energy: -81.71 eV/f.u.

Record 5
Below is a geometry-optimized K2LaCeSe4 structure, with properties calculated at the GGA-PBE level.

Cell: 7.655 4.421 8.076 Å, 90.00 108.39 90.00°
Space group P2/m (No. 10)
One atom of each set of equivalent atoms:
K  0.000  0.000  0.000
K  0.500  0.500  0.000
La  0.000  0.500  0.500
Ce  0.500  0.000  0.500
Se  0.240  0.000  0.711
Se  0.266  0.500  0.290

## Properties
* final energy: -41.07 eV/f.u.

Record 6
Below is a geometry-optimized K3LaCe3Se8 structure, with properties calculated at the GGA-PBE level.

Cell: 8.7071 8.7071 23.1286 Å, 90.00 90.00 120.00°
Space group R-3m (No. 166, hexagonal axes)
One atom of each set of equivalent atoms:
K  0.0000  0.5000  0.0000
La  0.0000  0.0000  0.5000
Ce  0.0000  0.5000  0.5000
Se  0.0000  0.0000  0.2358
Se  0.0075  0.5038  0.7654

## Properties
* final energy: -79.79 eV/f.u.

Record 7
Below is a geometry-optimized K3La2CeSe6 structure, with properties calculated at the GGA-PBE level.

Cell: 7.675 13.294 8.083 Å, 90.00 108.46 90.00°
Space group C2/m (No. 12)
One atom of each set of equivalent atoms:
K  0.000  0.000  0.000
K  0.000  0.333  0.000
La  0.000  0.167  0.500
Ce  0.000  0.500  0.500
Se  0.235  0.335  0.711
Se  0.240  0.000  0.711

## Properties
* final energy: -61.39 eV/f.u.

Record 8
Below is a geometry-optimized KLa2CeTe4 structure, with properties calculated at the GGA-PBE level.

Cell: 8.040 4.592 8.081 Å, 90.00 108.91 90.00°
Space group P2/m (No. 10)
One atom of each set of equivalent atoms:
K  0.000  0.000  0.000
La  0.500  0.000  0.500
La  0.500  0.500  0.000
Ce  0.000  0.500  0.500
Te  0.251  0.000  0.744
Te  0.259  0.500  0.261

## Properties
* final energy: -41.03 eV/f.u.

Record 9
Below is a geometry-optimized K4La3CeTe8 structure, with properties calculated at the GGA-PBE level.

Cell: 9.4188 9.4188 24.6415 Å, 90.00 90.00 120.00°
Space group R-3m (No. 166, hexagonal axes)
One atom of each set of equivalent atoms:
K  0.0000  0.0000  0.0000
K  0.0000  0.5000  0.0000
La  0.0000  0.5000  0.5000
Ce  0.0000  0.0000  0.5000
Te  0.0000  0.0000  0.2388
Te  0.0022  0.5011  0.2384

## Properties
* final energy: -73.58 eV/f.u.

Record 10
Below is a geometry-optimized KLi2CeO4 structure, with properties calculated at the GGA-PBE level.

Cell: 3.909 3.909 7.027 Å, 90.00 90.00 90.00°
Space group P4/mmm (No. 123)
One atom of each set of equivalent atoms:
K  0.000  0.000  0.000
Li  0.500  0.500  0.274
Ce  0.000  0.000  0.500
O  0.000  0.500  0.304

## Properties
* final energy: -47.59 eV/f.u.

Record 11
Below is a geometry-optimized KLiCeO3 structure, with properties calculated at the GGA-PBE level.

Cell: 7.482 3.586 7.735 Å, 90.00 104.70 90.00°
Space group P2_1/m (No. 11)
One atom of each set of equivalent atoms:
K  0.245  0.250  0.202
Li  0.406  0.750  0.927
Ce  0.168  0.250  0.673
O  0.138  0.750  0.841
O  0.148  0.750  0.472
O  0.453  0.250  0.827

## Properties
* final energy: -39.00 eV/f.u.

What ΔE_f (raw) values result from the calculations? In sequence: -1.892; -1.821; -1.876; -1.795; -1.759; -1.726; -1.783; -1.447; -1.459; -2.112; -2.531 eV per atom.
What total moment values result from the calculations? In sequence: 0.000; 0.188; 0.085; 0.063; 0.125; 0.134; 0.084; 0.175; 0.063; 0.123; 0.000 μB/atom.